## BaNpAg2Cl8 (PBE)

Data for a relaxed structure of BaNpAg2Cl8.

Cell: 6.5624 7.1197 9.0785 Å, 72.72 89.79 98.85°
Fractional positions:
Cl 0.1091 0.7650 0.2667
Np 0.0000 0.0000 0.0000
Cl 0.8642 0.2016 0.1663
Cl 0.6458 0.7667 0.0268
Cl 0.4242 0.2650 0.4457
Ag 0.4955 0.3488 0.6989
Cl 0.5758 0.7350 0.5543
Ag 0.5045 0.6512 0.3011
Ba 0.0000 0.0000 0.5000
Cl 0.3542 0.2333 0.9732
Cl 0.1358 0.7984 0.8337
Cl 0.8909 0.2350 0.7333

Summary:
- N(E_F) (states/eV per atom) = 0.405
- uncorrected formation energy (eV/atom) = -1.4415
- crystal system = triclinic
- total energy (Ry per atom) = -0.3224

***

## SrRe2Tc (PBE)

Data for a relaxed structure of SrRe2Tc.

Cell: 10.2283 10.2283 10.2283 Å, 15.93 15.93 15.93°
Fractional positions:
Re 0.0117 0.0117 0.0117
Sr 0.2500 0.2500 0.2500
Re 0.4883 0.4883 0.4883
Tc 0.7500 0.7500 0.7500

Summary:
- ΔE to the lowest computed polymorph (meV per atom) = 139.7
- formation enthalpy at 0 K (kJ per mole of atoms) = 76.2
- N(E_F) (states/eV per atom) = 0.682
- crystal system = trigonal
- total energy (Ry per atom) = -0.6208

***

## ZrB (PBE)

Data for a relaxed structure of ZrB.

Cell: 4.5804 3.1473 8.7960 Å, 90.00 90.00 90.00°
Fractional positions:
B 0.0000 0.5000 0.9978
Zr 0.0000 0.0000 0.2018
B 0.0000 0.0000 0.4978
B 0.0000 0.5000 0.4233
Zr 0.0000 0.5000 0.7018
B 0.0000 0.0000 0.9233
Zr 0.5000 0.0000 0.4591
Zr 0.5000 0.5000 0.9591

Summary:
- formation enthalpy at 0 K (kJ per mole of atoms) = -30.1
- N(E_F) (states/eV per atom) = 0.757
- crystal system = orthorhombic
- total energy (Ry per atom) = -0.5824

***

## Ce2SbTe5 (PBE)

Data for a relaxed structure of Ce2SbTe5.

Cell: 4.4085 8.7449 13.1981 Å, 90.00 90.00 90.00°
Fractional positions:
Te 0.0000 0.3218 0.3009
Te 0.0000 0.0000 0.5000
Te 0.5000 0.8222 0.8979
Ce 0.5000 0.5342 0.1753
Ce 0.5000 0.9658 0.6753
Ce 0.5000 0.4658 0.8247
Sb 0.0000 0.0000 0.0000
Te 0.0000 0.5000 0.0000
Te 0.5000 0.6778 0.3979
Te 0.5000 0.1778 0.1021
Te 0.0000 0.8218 0.1991
Te 0.0000 0.1782 0.8009
Sb 0.0000 0.5000 0.5000
Te 0.0000 0.6782 0.6991
Te 0.5000 0.3222 0.6021
Ce 0.5000 0.0342 0.3247

Summary:
- N(E_F) (states/eV per atom) = 1.534
- uncorrected formation energy (eV/atom) = -0.9066
- crystal system = orthorhombic
- total energy (Ry per atom) = -0.3579